Entry 1:
Compound: Pd2BrCl5
Source: OQMD via LeMat-Bulk
Functional: PBE
Structure: optimized geometry Values from VASP.

Computed properties:
**Volume**: 213 Å³/f.u.
**Symmetry**: Amm2 (38)
**Energy**: -2.944 eV/atom

Geometry as Quantum ESPRESSO input:
```
&SYSTEM
  ibrav = 0, nat = 8, ntyp = 3
/
ATOMIC_SPECIES
Br 79.90 Br.upf
Cl 35.45 Cl.upf
Pd 106.42 Pd.upf
CELL_PARAMETERS angstrom
-4.7836 3.6654 0.0587
-3.8451 -5.0294 0.7015
2.3153 2.9391 5.1549
ATOMIC_POSITIONS angstrom
Br -0.4925 -0.6729 1.8853
Cl -2.6965 -3.5274 0.5176
Cl -5.5326 -2.3015 2.2254
Cl -3.4490 0.3882 4.0764
Cl 1.6124 2.0462 3.6325
Cl -1.2138 3.2849 5.3475
Pd -2.7220 -1.1691 5.8573
Pd -5.1140 0.6637 5.8867
```


Entry 2:
Compound: TbEr2Si4Ag4
Source: OQMD via LeMat-Bulk
Functional: PBE
Structure: optimized geometry Values from VASP.

Computed properties:
**Volume**: 209 Å³/f.u.
**Total moment**: 0.01 μB/f.u.
**Symmetry**: Immm (71)
**Energy**: -4.748 eV/atom

Geometry as Quantum ESPRESSO input:
```
&SYSTEM
  ibrav = 0, nat = 11, ntyp = 4
/
ATOMIC_SPECIES
Ag 107.87 Ag.upf
Er 167.26 Er.upf
Si 28.09 Si.upf
Tb 158.93 Tb.upf
CELL_PARAMETERS angstrom
-2.1180 3.4938 7.0715
2.1180 -3.4938 7.0715
2.1180 3.4938 -7.0715
ATOMIC_POSITIONS angstrom
Ag 0.0000 2.1035 4.6834
Ag 0.0000 2.1035 9.4596
Ag 2.1180 1.3903 -2.3881
Ag 2.1180 1.3903 2.3881
Er 0.0000 3.4938 1.7673
Er 2.1180 0.0000 5.3042
Si 0.0000 0.0000 3.0688
Si 0.0000 0.0000 11.0741
Si 0.0000 1.2247 7.0715
Si 2.1180 2.2692 0.0000
Tb 0.0000 0.0000 0.0000
```


Question: Which value of volume does entry 1 give?
Answer: 213 Å³/f.u.